1.
YEr2Rh | PBE-GGA | relaxed

a = 3.4813 Å, b = 3.4813 Å, c = 8.5447 Å
α = 90.00°, β = 90.00°, γ = 90.00°
Last column: nearest neighbours and their distance in Å.
Element x y z (fractional)
Y 0.0000 0.0000 0.0000  4 Y 3.48, 8 Er 3.63
Er 0.5000 0.5000 0.3120  4 Rh 2.94, 1 Er 3.21
Er 0.5000 0.5000 0.6880  4 Rh 2.94, 1 Er 3.21
Rh 0.0000 0.0000 0.5000  8 Er 2.94

Properties
Energy of formation from the pure elements   -434 meV/atom
DFT total energy   -24.68 eV/f.u.
Distance to the lowest polymorph of the same formula   109.1 meV per atom

***

2.
Y3ErRh2 | PBE-GGA | relaxed

a = 8.0215 Å, b = 8.0215 Å, c = 4.7524 Å
α = 107.22°, β = 107.22°, γ = 30.61°
Last column: nearest neighbours and their distance in Å.
Element x y z (fractional)
Y 0.0000 0.0000 0.0000  4 Rh 3.03-3.04, 4 Er 3.18
Y 0.3140 0.3140 0.8135  1 Rh 2.73
Y 0.6860 0.6860 0.1865  1 Rh 2.73
Er 0.5000 0.5000 0.5000  4 Rh 2.84
Rh 0.1284 0.1284 0.6270  3 Y 2.73-3.04, 2 Er 2.84
Rh 0.8716 0.8716 0.3730  3 Y 2.73-3.04, 2 Er 2.84

Properties
Energy of formation from the pure elements   -543 meV/atom
DFT total energy   -41.92 eV/f.u.
Distance to the lowest polymorph of the same formula   17.9 meV per atom

***

3.
YEr2Rh | PBE-GGA | relaxed

a = 7.1570 Å, b = 9.3535 Å, c = 6.2906 Å
α = 90.00°, β = 90.00°, γ = 90.00°
Last column: nearest neighbours and their distance in Å.
Element x y z (fractional)
Y 0.0330 0.2500 0.1325  2 Rh 2.79-2.89
Y 0.4670 0.7500 0.6325  2 Rh 2.79-2.89
Y 0.5330 0.2500 0.3675  2 Rh 2.79-2.89
Y 0.9670 0.7500 0.8675  2 Rh 2.79-2.89
Er 0.1772 0.0632 0.6713  2 Rh 2.82-2.85
Er 0.1772 0.4368 0.6713  2 Rh 2.82-2.85
Er 0.3228 0.5632 0.1713  2 Rh 2.82-2.85
Er 0.3228 0.9368 0.1713  2 Rh 2.82-2.85
Er 0.6772 0.0632 0.8287  2 Rh 2.82-2.85
Er 0.6772 0.4368 0.8287  2 Rh 2.82-2.85
Er 0.8228 0.5632 0.3287  2 Rh 2.82-2.85
Er 0.8228 0.9368 0.3287  2 Rh 2.82-2.85
Rh 0.1156 0.7500 0.4404  2 Y 2.79-2.89, 4 Er 2.82-2.85
Rh 0.3844 0.2500 0.9404  2 Y 2.79-2.89, 4 Er 2.82-2.85
Rh 0.6156 0.7500 0.0596  2 Y 2.79-2.89, 4 Er 2.82-2.85
Rh 0.8844 0.2500 0.5596  2 Y 2.79-2.89, 4 Er 2.82-2.85

Properties
Energy of formation from the pure elements   -543 meV/atom
DFT total energy   -25.11 eV/f.u.
Distance to the lowest polymorph of the same formula   0.0 meV per atom

***

> Look up the energy of formation from the pure elements of the third one.

-543 meV/atom

***

> Number 3 is which compound?

YEr2Rh

***

> The highest DFT total energy belongs to which entry?

number 1